Entry 1:
DFT (PBE) results for an optimized crystal structure of Ru3PtSe.

Cell lengths 4.8503, 4.8503, 4.8503 Å; angles 90.00, 90.00, 90.00 degrees
Space group Pm-3m (No. 221)
One atom of each set of equivalent atoms:
Ru 0.0000 0.0000 0.5000 x3
Pt 0.0000 0.0000 0.0000 x1
Se 0.5000 0.5000 0.5000 x1

As for the crystal system: cubic. The value obtained for the distance to the lowest polymorph of the same formula is 732.8 meV/atom. As for the total energy: -28.01 eV per cell. The formation energy (no corrections) is 1.868 eV per atom. For the calculated density, the calculation gives 8.40 Mg/m³.

***

Entry 2:
DFT (PBE) results for an optimized crystal structure of CdPH.

Cell lengths 6.6724, 5.7858, 5.8480 Å; angles 90.00, 90.00, 90.00 degrees
Space group Ama2 (No. 40)
One atom of each set of equivalent atoms:
Cd 0.0000 0.0000 0.0000 x4
P 0.2500 0.2214 0.7110 x4
H 0.2500 0.0457 0.5389 x4

As for the crystal system: orthorhombic. The value obtained for the distance to the lowest polymorph of the same formula is 0.0 meV/atom. As for the total energy: -39.20 eV per cell. For the calculated density, the calculation gives 4.25 Mg/m³.

***

Entry 3:
DFT (PBE) results for an optimized crystal structure of Re2SiTe.

Cell lengths 2.9267, 4.0017, 5.6410 Å; angles 90.00, 90.00, 90.00 degrees
Space group Pmm2 (No. 25)
One atom of each set of equivalent atoms:
Re 0.0000 0.0000 0.0000 x1
Re 0.5000 0.5000 0.2981 x1
Si 0.0000 0.0000 0.4286 x1
Te 0.5000 0.5000 0.7900 x1

As for the crystal system: orthorhombic. The value obtained for the distance to the lowest polymorph of the same formula is 141.2 meV/atom. As for the total energy: -31.69 eV per cell. The formation energy (no corrections) is 0.444 eV per atom. For the calculated density, the calculation gives 13.27 Mg/m³.

***

Entry 4:
DFT (PBE) results for an optimized crystal structure of CdCuSn2.

Cell lengths 4.7318, 4.7318, 17.6884 Å; angles 90.00, 90.00, 90.00 degrees
Space group I-42d (No. 122)
One atom of each set of equivalent atoms:
Cd 0.0000 0.0000 0.0000 x4
Cu 0.0000 0.0000 0.5000 x4
Sn 0.2031 0.2500 0.6250 x8

As for the crystal system: tetragonal. As for the total energy: -49.42 eV per cell. For the calculated density, the calculation gives 6.93 Mg/m³. As for the energy of formation: 166 meV per atom.

***

Entry 5:
DFT (PBE) results for an optimized crystal structure of Ca2LaRe.

Cell lengths 4.0137, 4.0137, 6.7749 Å; angles 90.00, 90.00, 90.00 degrees
Space group P4/mmm (No. 123)
One atom of each set of equivalent atoms:
Ca 0.0000 0.0000 0.2064 x2
La 0.5000 0.5000 0.5000 x1
Re 0.5000 0.5000 0.0000 x1

As for the crystal system: tetragonal. The value obtained for the distance to the lowest polymorph of the same formula is 344.5 meV/atom. As for the total energy: -18.38 eV per cell. For the calculated density, the calculation gives 6.17 Mg/m³. As for the energy of formation: 750 meV per atom.

***

Entry 6:
DFT (PBE) results for an optimized crystal structure of Pr3CdRh8.

Cell lengths 5.3845, 5.3845, 26.5350 Å; angles 90.00, 90.00, 120.00 degrees
Space group R3m (No. 160, hexagonal axes)
One atom of each set of equivalent atoms:
Pr 0.0000 0.0000 0.0000 x3
Pr 0.0000 0.0000 0.1282 x3
Pr 0.0000 0.0000 0.5083 x3
Cd 0.0000 0.0000 0.6308 x3
Rh 0.0000 0.0000 0.3161 x3
Rh 0.0000 0.0000 0.8162 x3
Rh 0.1669 0.3339 0.3987 x9
Rh 0.1669 0.3339 0.9005 x9

As for the crystal system: trigonal. As for the total energy: -240.20 eV per cell. For the calculated density, the calculation gives 10.16 Mg/m³. As for the energy of formation: -500 meV per atom.

***

Entry 7:
DFT (PBE) results for an optimized crystal structure of Si2NCl.

Cell lengths 4.6090, 4.6090, 12.4270 Å; angles 90.00, 90.00, 90.00 degrees
Space group I-42d (No. 122)
One atom of each set of equivalent atoms:
Si 0.0358 0.2500 0.1250 x8
N 0.0000 0.0000 0.0000 x4
Cl 0.0000 0.0000 0.5000 x4

As for the crystal system: tetragonal. The value obtained for the distance to the lowest polymorph of the same formula is 0.0 meV/atom. As for the total energy: -77.78 eV per cell. The formation energy (no corrections) is 0.393 eV per atom. For the calculated density, the calculation gives 2.66 Mg/m³.

***

Entry 8:
DFT (PBE) results for an optimized crystal structure of ZnRe2Cl.

Cell lengths 2.7431, 4.9433, 9.1109 Å; angles 90.00, 90.00, 90.00 degrees
Space group Cmmm (No. 65)
One atom of each set of equivalent atoms:
Zn 0.0000 0.0000 0.0000 x2
Re 0.0000 0.5000 0.2504 x4
Cl 0.0000 0.0000 0.5000 x2

As for the crystal system: orthorhombic. The value obtained for the distance to the lowest polymorph of the same formula is 705.2 meV/atom. As for the total energy: -49.80 eV per cell. The formation energy (no corrections) is 0.779 eV per atom. For the calculated density, the calculation gives 12.72 Mg/m³.